Version w
Computed, not measured: Na2Sr4Ir after structural relaxation at the PBE level of DFT.

The structure belongs to space group I4/mmm (No. 139); the cell edges are 5.878, 5.878 and 18.707 Å and the angles 90.00°, 90.00° and 90.00°. The distinct sites, in fractional coordinates, are Na at (0.000, 0.000, 0.139), Sr at (0.000, 0.000, 0.343), Sr at (0.000, 0.500, 0.000) and Ir at (0.000, 0.000, 0.500).

As for the density: 3.02 g/cm3. For the density of states at the Fermi level, the calculation gives 6.65 states/eV/cell.

Version x
Computed, not measured: Na2Sr4Ir after structural relaxation at the PBE level of DFT.

The structure belongs to space group P2_1/m (No. 11); the cell edges are 8.948, 7.700 and 9.155 Å and the angles 90.00°, 108.61° and 90.00°. The distinct sites, in fractional coordinates, are Na at (0.018, 0.250, 0.173), Na at (0.293, 0.750, 0.692), Sr at (0.029, 0.250, 0.720), Sr at (0.343, 0.503, 0.088), Sr at (0.375, 0.250, 0.535) and Ir at (0.378, 0.250, 0.852).

As for the density: 3.27 g/cm3. For the density of states at the Fermi level, the calculation gives 9.25 states/eV/cell.

Energies in eV/atom, measured from the most stable structure: version w 0.000; version x 0.010.

Version w
Computed, not measured: NaSr2Ir2 after structural relaxation at the PBE level of DFT.

The structure belongs to space group P4/mbm (No. 127); the cell edges are 7.738, 7.738 and 4.485 Å and the angles 90.00°, 90.00° and 90.00°. The distinct sites, in fractional coordinates, are Na at (0.000, 0.000, 0.000), Sr at (0.172, 0.328, 0.500) and Ir at (0.113, 0.613, 0.000).

As for the density: 7.21 g/cm3. For the density of states at the Fermi level, the calculation gives 9.74 states/eV/cell.

Version x
Computed, not measured: NaSr2Ir2 after structural relaxation at the PBE level of DFT.

The structure belongs to space group I4/mmm (No. 139); the cell edges are 5.809, 5.809 and 8.799 Å and the angles 90.00°, 90.00° and 90.00°. The distinct sites, in fractional coordinates, are Na at (0.000, 0.000, 0.000), Sr at (0.000, 0.500, 0.250) and Ir at (0.000, 0.000, 0.361).

As for the density: 6.52 g/cm3. For the density of states at the Fermi level, the calculation gives 7.40 states/eV/cell.

Energies in eV/atom, measured from the most stable structure: version w 0.000; version x 0.190.

Version w
Computed, not measured: Na2SrIr after structural relaxation at the PBE level of DFT.

The structure belongs to space group I-42d (No. 122); the cell edges are 4.365, 4.365 and 22.744 Å and the angles 90.00°, 90.00° and 90.00°. The distinct sites, in fractional coordinates, are Na at (0.203, 0.250, 0.125), Sr at (0.000, 0.000, 0.500) and Ir at (0.000, 0.000, 0.000).

As for the density: 4.99 g/cm3. For the density of states at the Fermi level, the calculation gives 15.55 states/eV/cell.

Version x
Computed, not measured: Na2SrIr after structural relaxation at the PBE level of DFT.

The structure belongs to space group Fm-3m (No. 225); the cell edges are 7.237, 7.237 and 7.237 Å and the angles 90.00°, 90.00° and 90.00°. The distinct sites, in fractional coordinates, are Na at (0.250, 0.250, 0.250), Sr at (0.000, 0.000, 0.000) and Ir at (0.000, 0.000, 0.500).

As for the density: 5.71 g/cm3. For the density of states at the Fermi level, the calculation gives 12.14 states/eV/cell.

Energies in eV/atom, measured from the most stable structure: version w 0.005; version x 0.000.

Version w
Computed, not measured: NaSrIr after structural relaxation at the PBE level of DFT.

The structure belongs to space group C2/m (No. 12); the cell edges are 15.732, 4.532 and 5.528 Å and the angles 90.00°, 101.56° and 90.00°. The distinct sites, in fractional coordinates, are Na at (0.084, 0.000, 0.304), Sr at (0.150, 0.500, 0.852) and Ir at (0.239, 0.500, 0.423).

As for the density: 5.21 g/cm3. For the density of states at the Fermi level, the calculation gives 6.19 states/eV/cell.

Version x
Computed, not measured: NaSrIr after structural relaxation at the PBE level of DFT.

The structure belongs to space group P1 (No. 1); the cell edges are 4.337, 4.338 and 13.704 Å and the angles 80.94°, 80.92° and 60.01°. The distinct sites, in fractional coordinates, are Na at (0.000, 0.000, 0.000), Na at (0.400, 0.403, 0.799), Sr at (0.149, 0.152, 0.549), Sr at (0.248, 0.251, 0.251), Ir at (0.532, 0.535, 0.400) and Ir at (0.865, 0.868, 0.400).

As for the density: 4.58 g/cm3. For the density of states at the Fermi level, the calculation gives 6.42 states/eV/cell.

Energies in eV/atom, measured from the most stable structure: version w 0.121; version x 0.000.

Version w
Computed, not measured: NaTa3Ir after structural relaxation at the PBE level of DFT.

The structure belongs to space group Pm-3m (No. 221); the cell edges are 4.552, 4.552 and 4.552 Å and the angles 90.00°, 90.00° and 90.00°. The distinct sites, in fractional coordinates, are Na at (0.000, 0.000, 0.000), Ta at (0.000, 0.000, 0.500) and Ir at (0.500, 0.500, 0.500).

As for the density: 13.35 g/cm3. For the density of states at the Fermi level, the calculation gives 6.10 states/eV/cell.

Version x
Computed, not measured: NaTa3Ir after structural relaxation at the PBE level of DFT.

The structure belongs to space group Pm-3m (No. 221); the cell edges are 4.934, 4.934 and 4.934 Å and the angles 90.00°, 90.00° and 90.00°. The distinct sites, in fractional coordinates, are Na at (0.000, 0.000, 0.000), Ta at (0.000, 0.500, 0.500) and Ir at (0.500, 0.500, 0.500).

As for the density: 10.48 g/cm3. For the density of states at the Fermi level, the calculation gives 4.71 states/eV/cell.

Energies in eV/atom, measured from the most stable structure: version w 1.246; version x 0.000.

Version w
Computed, not measured: Na2TaIr2 after structural relaxation at the PBE level of DFT.

The structure belongs to space group P4/mbm (No. 127); the cell edges are 7.965, 7.965 and 2.661 Å and the angles 90.00°, 90.00° and 90.00°. The distinct sites, in fractional coordinates, are Na at (0.101, 0.399, 0.000), Ta at (0.000, 0.000, 0.000) and Ir at (0.200, 0.700, 0.500).

As for the density: 12.03 g/cm3. For the density of states at the Fermi level, the calculation gives 7.88 states/eV/cell.

Version x
Computed, not measured: Na2TaIr2 after structural relaxation at the PBE level of DFT.

The structure belongs to space group I4/mmm (No. 139); the cell edges are 4.593, 4.593 and 7.875 Å and the angles 90.00°, 90.00° and 90.00°. The distinct sites, in fractional coordinates, are Na at (0.000, 0.000, 0.121), Ta at (0.000, 0.000, 0.500) and Ir at (0.000, 0.500, 0.250).

As for the density: 12.22 g/cm3. For the density of states at the Fermi level, the calculation gives 4.48 states/eV/cell.

Energies in eV/atom, measured from the most stable structure: version w 0.000; version x 0.297.